Record 1
# PBE LiInSiF6, optimized geometry
# density: 3.21 Mg/m³
# total magnetic moment: 0.000 μB per atom
# energy relative to the elements, uncorrected: -2837 meV/atom
data_LiInSiF6
_cell_length_a 5.1318
_cell_length_b 5.1318
_cell_length_c 5.9891
_cell_angle_alpha 90.00
_cell_angle_beta 90.00
_cell_angle_gamma 120.00
_symmetry_space_group_name_H-M 'P 3 1 2'
_symmetry_Int_Tables_number 149
loop_
_symmetry_equiv_pos_as_xyz
'x,y,z'
'-y,x-y,z'
'-x+y,-x,z'
'-y,-x,-z'
'-x+y,y,-z'
'x,x-y,-z'
loop_
_atom_site_label
_atom_site_fract_x
_atom_site_fract_y
_atom_site_fract_z
_atom_site_occupancy
Li1 0.0000 0.0000 0.0000 1
In1 0.6667 0.3333 0.5000 1
Si1 0.3333 0.6667 0.0000 1
F1 0.0679 0.3835 0.1649 1

***

Record 2
# PBE LiInSn2F, optimized geometry
# density: 5.06 Mg/m³
# total magnetic moment: 0.000 μB per atom
# energy relative to the elements, uncorrected: -448 meV/atom
data_LiInSn2F
_cell_length_a 4.959
_cell_length_b 4.959
_cell_length_c 5.051
_cell_angle_alpha 90.00
_cell_angle_beta 90.00
_cell_angle_gamma 90.00
_symmetry_space_group_name_H-M 'P 4/m m m'
_symmetry_Int_Tables_number 123
_symmetry_space_group_name_Hall '-P 4 2'
loop_
_atom_site_label
_atom_site_fract_x
_atom_site_fract_y
_atom_site_fract_z
_atom_site_occupancy
Li1 0.000 0.000 0.000 1
In1 0.500 0.500 0.000 1
Sn1 0.000 0.500 0.500 1
F1 0.500 0.500 0.500 1

***

Record 3
# PBE Sr2Li3InF12, optimized geometry
# density: 3.79 Mg/m³
# total magnetic moment: 0.115 μB per atom
# energy relative to the elements, uncorrected: -2686 meV/atom
data_Sr2Li3InF12
_cell_length_a 6.5030
_cell_length_b 6.5030
_cell_length_c 19.3576
_cell_angle_alpha 90.00
_cell_angle_beta 90.00
_cell_angle_gamma 120.00
_symmetry_space_group_name_H-M 'R -3 m'
_symmetry_Int_Tables_number 166
_symmetry_space_group_name_Hall '-R 3 2"'
loop_
_atom_site_label
_atom_site_fract_x
_atom_site_fract_y
_atom_site_fract_z
_atom_site_occupancy
Sr1 0.0000 0.0000 0.1111 1
Li1 0.0000 0.5000 0.0000 1
In1 0.0000 0.0000 0.5000 1
F1 0.0270 0.5135 0.8736 1
F2 0.0308 0.5154 0.2964 1

***

Record 4
# PBE Sr2LiInF, optimized geometry
# density: 4.05 Mg/m³
# total magnetic moment: 0.000 μB per atom
# energy relative to the elements, uncorrected: -1313 meV/atom
data_Sr2LiInF
_cell_length_a 5.532
_cell_length_b 5.532
_cell_length_c 4.231
_cell_angle_alpha 90.00
_cell_angle_beta 90.00
_cell_angle_gamma 90.00
_symmetry_space_group_name_H-M 'P 4/m m m'
_symmetry_Int_Tables_number 123
_symmetry_space_group_name_Hall '-P 4 2'
loop_
_atom_site_label
_atom_site_fract_x
_atom_site_fract_y
_atom_site_fract_z
_atom_site_occupancy
Sr1 0.000 0.500 0.000 1
Li1 0.000 0.000 0.500 1
In1 0.500 0.500 0.500 1
F1 0.000 0.000 0.000 1